(1)
# Pr2ZnGe (GGA-PBE, optimized geometry)
# **Energy of formation from the pure elements**: -564 meV per atom
data_Pr2ZnGe
_chemical_formula_sum 'Pr4 Zn2 Ge2'
_space_group_name_H-M_alt 'P 1 21/m 1'
_space_group_IT_number 11
_cell_length_a 6.1098
_cell_length_b 4.2021
_cell_length_c 8.7322
_cell_angle_alpha 90.00
_cell_angle_beta 109.96
_cell_angle_gamma 90.00
loop_
_space_group_symop_operation_xyz
'x,y,z'
'-x,-y,-z'
'-x,y+1/2,-z'
'x,-y+1/2,z'
loop_
_atom_site_label
_atom_site_type_symbol
_atom_site_fract_x
_atom_site_fract_y
_atom_site_fract_z
Pr1 Pr 0.2100 0.2500 0.4203
Pr2 Pr 0.2844 0.7500 0.0621
Zn1 Zn 0.1589 0.2500 0.7793
Ge1 Ge 0.3638 0.7500 0.7066


(2)
# Ce6TcIrPb2 (GGA-PBE, optimized geometry)
# **Energy of formation from the pure elements**: -264 meV per atom
data_Ce6TcIrPb2
_chemical_formula_sum 'Ce24 Tc4 Ir4 Pb8'
_space_group_name_H-M_alt 'F m -3 m'
_space_group_IT_number 225
_space_group_name_Hall '-F 4 2 3'
_cell_length_a 10.7335
_cell_length_b 10.7335
_cell_length_c 10.7335
_cell_angle_alpha 90.00
_cell_angle_beta 90.00
_cell_angle_gamma 90.00
loop_
_atom_site_label
_atom_site_type_symbol
_atom_site_fract_x
_atom_site_fract_y
_atom_site_fract_z
Ce1 Ce 0.0000 0.0000 0.2471
Tc1 Tc 0.0000 0.0000 0.0000
Ir1 Ir 0.0000 0.0000 0.5000
Pb1 Pb 0.2500 0.2500 0.2500


(3)
# BAs3Au (GGA-PBE, optimized geometry)
# **Energy of formation from the pure elements**: 1721 meV per atom
data_BAs3Au
_chemical_formula_sum 'B1 As3 Au1'
_space_group_name_H-M_alt 'P m -3 m'
_space_group_IT_number 221
_space_group_name_Hall '-P 4 2 3'
_cell_length_a 5.0577
_cell_length_b 5.0577
_cell_length_c 5.0577
_cell_angle_alpha 90.00
_cell_angle_beta 90.00
_cell_angle_gamma 90.00
loop_
_atom_site_label
_atom_site_type_symbol
_atom_site_fract_x
_atom_site_fract_y
_atom_site_fract_z
B1 B 0.0000 0.0000 0.0000
As1 As 0.0000 0.5000 0.5000
Au1 Au 0.5000 0.5000 0.5000


(4)
# Cs2Hg2BiTe4 (GGA-PBE, optimized geometry)
# **Formation energy without anion corrections**: -4.573 eV per formula unit
data_Cs2Hg2BiTe4
_chemical_formula_sum 'Cs4 Hg4 Bi2 Te8'
_space_group_name_H-M_alt 'C 1 2/m 1'
_space_group_IT_number 12
_cell_length_a 18.4237
_cell_length_b 4.7398
_cell_length_c 8.7881
_cell_angle_alpha 90.00
_cell_angle_beta 109.55
_cell_angle_gamma 90.00
loop_
_space_group_symop_operation_xyz
'x,y,z'
'-x,-y,-z'
'-x,y,-z'
'x,-y,z'
'x+1/2,y+1/2,z'
'-x+1/2,-y+1/2,-z'
'-x+1/2,y+1/2,-z'
'x+1/2,-y+1/2,z'
loop_
_atom_site_label
_atom_site_type_symbol
_atom_site_fract_x
_atom_site_fract_y
_atom_site_fract_z
Cs1 Cs 0.1360 0.0000 0.0691
Hg1 Hg 0.1693 0.5000 0.4452
Bi1 Bi 0.0000 0.0000 0.5000
Te1 Te 0.0060 0.5000 0.2612
Te2 Te 0.1930 0.0000 0.6627


(5)
# LaTePS2 (GGA-PBE, optimized geometry)
# **Formation energy without anion corrections**: -1.666 eV per formula unit
# **ΔE to the lowest computed polymorph**: 0 kJ/mol of formula units
data_LaTePS2
_chemical_formula_sum 'La1 Te1 P1 S2'
_space_group_name_H-M_alt 'P 4/m m m'
_space_group_IT_number 123
_space_group_name_Hall '-P 4 2'
_cell_length_a 5.0286
_cell_length_b 5.0286
_cell_length_c 5.0532
_cell_angle_alpha 90.00
_cell_angle_beta 90.00
_cell_angle_gamma 90.00
loop_
_atom_site_label
_atom_site_type_symbol
_atom_site_fract_x
_atom_site_fract_y
_atom_site_fract_z
La1 La 0.0000 0.0000 0.0000
Te1 Te 0.5000 0.5000 0.5000
P1 P 0.5000 0.5000 0.0000
S1 S 0.0000 0.5000 0.5000


(6)
# PmNd5Ir4 (GGA-PBE, optimized geometry)
# **Energy of formation from the pure elements**: -532 meV per atom
data_PmNd5Ir4
_chemical_formula_sum 'Pm2 Nd10 Ir8'
_space_group_name_H-M_alt 'C 1 2/m 1'
_space_group_IT_number 12
_cell_length_a 18.6926
_cell_length_b 4.3365
_cell_length_c 7.6582
_cell_angle_alpha 90.00
_cell_angle_beta 114.09
_cell_angle_gamma 90.00
loop_
_space_group_symop_operation_xyz
'x,y,z'
'-x,-y,-z'
'-x,y,-z'
'x,-y,z'
'x+1/2,y+1/2,z'
'-x+1/2,-y+1/2,-z'
'-x+1/2,y+1/2,-z'
'x+1/2,-y+1/2,z'
loop_
_atom_site_label
_atom_site_type_symbol
_atom_site_fract_x
_atom_site_fract_y
_atom_site_fract_z
Pm1 Pm 0.0000 0.0000 0.0000
Nd1 Nd 0.0000 0.0000 0.5000
Nd2 Nd 0.1652 0.5000 0.4073
Nd3 Nd 0.1651 0.5000 0.9227
Ir1 Ir 0.0000 0.5000 0.2543
Ir2 Ir 0.1982 0.0000 0.1981


(7)
# GeSbI2 (GGA-PBE, optimized geometry)
# **Formation energy without anion corrections**: 1.768 eV per formula unit
# **ΔE to the lowest computed polymorph**: 83 kJ/mol of formula units
data_GeSbI2
_chemical_formula_sum 'Ge4 Sb4 I8'
_space_group_name_H-M_alt 'F m -3 m'
_space_group_IT_number 225
_space_group_name_Hall '-F 4 2 3'
_cell_length_a 7.7631
_cell_length_b 7.7631
_cell_length_c 7.7631
_cell_angle_alpha 90.00
_cell_angle_beta 90.00
_cell_angle_gamma 90.00
loop_
_atom_site_label
_atom_site_type_symbol
_atom_site_fract_x
_atom_site_fract_y
_atom_site_fract_z
Ge1 Ge 0.0000 0.0000 0.0000
Sb1 Sb 0.0000 0.0000 0.5000
I1 I 0.2500 0.2500 0.2500


(8)
# Pa2PtO (GGA-PBE, optimized geometry)
# **Formation energy without anion corrections**: -4.186 eV per formula unit
data_Pa2PtO
_chemical_formula_sum 'Pa6 Pt3 O3'
_space_group_name_H-M_alt 'R -3 m'
_space_group_IT_number 166
_space_group_name_Hall '-R 3 2"'
_cell_length_a 3.1675
_cell_length_b 3.1675
_cell_length_c 26.1535
_cell_angle_alpha 90.00
_cell_angle_beta 90.00
_cell_angle_gamma 120.00
loop_
_atom_site_label
_atom_site_type_symbol
_atom_site_fract_x
_atom_site_fract_y
_atom_site_fract_z
Pa1 Pa 0.0000 0.0000 0.1038
Pt1 Pt 0.0000 0.0000 0.0000
O1 O 0.0000 0.0000 0.5000


(9)
# CaCrRe2 (GGA-PBE, optimized geometry)
# **Energy of formation from the pure elements**: 1198 meV per atom
# **ΔE to the lowest computed polymorph**: 278 kJ/mol of formula units
data_CaCrRe2
_chemical_formula_sum 'Ca4 Cr4 Re8'
_space_group_name_H-M_alt 'I 41/a m d'
_space_group_IT_number 141
_cell_length_a 4.8552
_cell_length_b 4.8552
_cell_length_c 16.2218
_cell_angle_alpha 90.00
_cell_angle_beta 90.00
_cell_angle_gamma 90.00
loop_
_space_group_symop_operation_xyz
'x,y,z'
'-x,-y,-z'
'-y+1/4,x+3/4,z+1/4'
'y+1/4,-x+3/4,-z+1/4'
'-x+1/2,-y,z+1/2'
'x+1/2,y,-z+1/2'
'y+1/4,-x+1/4,z+3/4'
'-y+1/4,x+1/4,-z+3/4'
'x,-y,-z'
'-x,y,z'
'-y+1/4,-x+1/4,-z+3/4'
'y+1/4,x+1/4,z+3/4'
'-x+1/2,y,-z+1/2'
'x+1/2,-y,z+1/2'
'y+1/4,x+3/4,-z+1/4'
'-y+1/4,-x+3/4,z+1/4'
'x+1/2,y+1/2,z+1/2'
'-x+1/2,-y+1/2,-z+1/2'
'-y+3/4,x+1/4,z+3/4'
'y+3/4,-x+1/4,-z+3/4'
'-x,-y+1/2,z'
'x,y+1/2,-z'
'y+3/4,-x+3/4,z+1/4'
'-y+3/4,x+3/4,-z+1/4'
'x+1/2,-y+1/2,-z+1/2'
'-x+1/2,y+1/2,z+1/2'
'-y+3/4,-x+3/4,-z+1/4'
'y+3/4,x+3/4,z+1/4'
'-x,y+1/2,-z'
'x,-y+1/2,z'
'y+3/4,x+1/4,-z+3/4'
'-y+3/4,-x+1/4,z+3/4'
loop_
_atom_site_label
_atom_site_type_symbol
_atom_site_fract_x
_atom_site_fract_y
_atom_site_fract_z
Ca1 Ca 0.0000 0.2500 0.3750
Cr1 Cr 0.0000 0.2500 0.8750
Re1 Re 0.0000 0.0000 0.0000


(10)
# Nd4Er5In (GGA-PBE, optimized geometry)
# **Energy of formation from the pure elements**: 72 meV per atom
# **ΔE to the lowest computed polymorph**: 60 kJ/mol of formula units
data_Nd4Er5In
_chemical_formula_sum 'Nd8 Er10 In2'
_space_group_name_H-M_alt 'I 4 m m'
_space_group_IT_number 107
_space_group_name_Hall 'I 4 -2'
_cell_length_a 10.7292
_cell_length_b 10.7292
_cell_length_c 5.7991
_cell_angle_alpha 90.00
_cell_angle_beta 90.00
_cell_angle_gamma 90.00
loop_
_atom_site_label
_atom_site_type_symbol
_atom_site_fract_x
_atom_site_fract_y
_atom_site_fract_z
Nd1 Nd 0.0000 0.3112 0.0000
Er1 Er 0.0000 0.0000 0.2097
Er2 Er 0.1840 0.1840 0.4987
In1 In 0.0000 0.0000 0.7249


(11)
# Y2Rh6C (GGA-PBE, optimized geometry)
# **Energy of formation from the pure elements**: -565 meV per atom
data_Y2Rh6C
_chemical_formula_sum 'Y8 Rh24 C4'
_space_group_name_H-M_alt 'F m -3 m'
_space_group_IT_number 225
_space_group_name_Hall '-F 4 2 3'
_cell_length_a 8.2243
_cell_length_b 8.2243
_cell_length_c 8.2243
_cell_angle_alpha 90.00
_cell_angle_beta 90.00
_cell_angle_gamma 90.00
loop_
_atom_site_label
_atom_site_type_symbol
_atom_site_fract_x
_atom_site_fract_y
_atom_site_fract_z
Y1 Y 0.2500 0.2500 0.2500
Rh1 Rh 0.0000 0.0000 0.2465
C1 C 0.0000 0.0000 0.5000


(12)
# Tl3CoAg3Cl8 (GGA-PBE, optimized geometry)
# **Formation energy without anion corrections**: -9.879 eV per formula unit
data_Tl3CoAg3Cl8
_chemical_formula_sum 'Tl6 Co2 Ag6 Cl16'
_space_group_name_H-M_alt 'C 1 2/m 1'
_space_group_IT_number 12
_cell_length_a 14.0802
_cell_length_b 8.1077
_cell_length_c 8.6756
_cell_angle_alpha 90.00
_cell_angle_beta 122.71
_cell_angle_gamma 90.00
loop_
_space_group_symop_operation_xyz
'x,y,z'
'-x,-y,-z'
'-x,y,-z'
'x,-y,z'
'x+1/2,y+1/2,z'
'-x+1/2,-y+1/2,-z'
'-x+1/2,y+1/2,-z'
'x+1/2,-y+1/2,z'
loop_
_atom_site_label
_atom_site_type_symbol
_atom_site_fract_x
_atom_site_fract_y
_atom_site_fract_z
Tl1 Tl 0.0000 0.0000 0.0000
Tl2 Tl 0.2500 0.2500 0.0000
Co1 Co 0.0000 0.0000 0.5000
Ag1 Ag 0.0000 0.5000 0.5000
Ag2 Ag 0.2500 0.2500 0.5000
Cl1 Cl 0.0114 0.2224 0.3129
Cl2 Cl 0.2100 0.0000 0.6863
Cl3 Cl 0.2340 0.5000 0.7007


Number 1: VASP energy -35.4 eV for the cell shown, mass density 6.62 g cm⁻³. Number 2: VASP energy -259.6 eV for the cell shown, mass density 8.30 g cm⁻³. Number 3: VASP energy -15.3 eV for the cell shown, mass density 5.55 g cm⁻³. Number 4: VASP energy -46.7 eV for the cell shown, mass density 6.37 g cm⁻³. Number 5: VASP energy -23.4 eV for the cell shown, mass density 4.70 g cm⁻³. Number 6: VASP energy -138.7 eV for the cell shown, mass density 9.58 g cm⁻³. Number 7: VASP energy -40.3 eV for the cell shown, mass density 6.36 g cm⁻³. Number 8: VASP energy -102.5 eV for the cell shown, mass density 14.76 g cm⁻³. Number 9: VASP energy -126.9 eV for the cell shown, mass density 8.07 g cm⁻³. Number 10: VASP energy -87.8 eV for the cell shown, mass density 7.60 g cm⁻³. Number 11: VASP energy -285.4 eV for the cell shown, mass density 9.64 g cm⁻³. Number 12: VASP energy -94.8 eV for the cell shown, mass density 5.10 g cm⁻³.